First-principles (PBE-GGA) data for crystalline PrMnTl2Cl8 at its relaxed geometry, as listed in the Alexandria database.

Values from the calculation:
total energy: -4.1793 eV/atom
formation energy (no corrections): -16.697 eV/f.u.
magnetic moment: 0.333 μB/atom

a = 6.8537 Å, b = 7.0421 Å, c = 8.1325 Å
α = 89.51°, β = 89.45°, γ = 86.92°
Space group P-1 (No. 2)
Inequivalent atoms, fractional coordinates:
Pr (0.0000, 0.0000, 0.0000) x1
Mn (0.0000, 0.0000, 0.5000) x1
Tl (0.4809, 0.4866, 0.7318) x2
Cl (0.1692, 0.7191, 0.4962) x2
Cl (0.2010, 0.1154, 0.2868) x2
Cl (0.2303, 0.6674, 0.0060) x2
Cl (0.2348, 0.1254, 0.7466) x2